## FeAuCl2 (PBE)

Data for an optimized crystal structure of FeAuCl2.

```
FeAuCl2
1.0
-0.9289 -2.2003 2.2471
4.9123 1.2925 3.2961
-2.0656 2.8676 1.9540
Cl Au Fe
2 1 1
Cartesian
1.9917 -0.4539 2.7716
0.0000 0.0000 0.0000
1.4233 2.0800 2.6250
-1.4972 0.3336 2.1006
```

Output
* calculated density: 6.704 g cm⁻³
* formation energy (no corrections): 0.272 eV/atom
* total magnetization: 3.22 μB/f.u.
* Fermi-level density of states: 2.80 states/eV per cell
* ΔE to the lowest computed polymorph: 496 meV per atom